LiAl2Cu4Ni: relaxed, PBE.

Total magnetic moment in μB per cell: 0.01
Polymorph energy (0 for the lowest one) in meV/atom: 1
Space-group type: I4_1/amd (141)
ρ in g cm⁻³: 6.41

Cell lengths 7.117, 7.117, 7.117 Å; angles 132.27, 132.27, 69.80 degrees
Positions (direct):
Li1 0.375 0.625 0.750
Li2 0.625 0.375 0.250
Al1 0.124 0.374 0.750
Al2 0.374 0.124 0.250
Al3 0.626 0.876 0.750
Al4 0.876 0.626 0.250
Cu1 0.000 0.251 0.251
Cu2 0.000 0.749 0.749
Cu3 0.251 0.000 0.751
Cu4 0.251 0.500 0.251
Cu5 0.500 0.251 0.751
Cu6 0.500 0.749 0.249
Cu7 0.749 0.000 0.249
Cu8 0.749 0.500 0.749
Ni1 0.125 0.875 0.250
Ni2 0.875 0.125 0.750

BeCuSiAg: relaxed, PBE.

Energy in eV/atom: -3.612
Space-group type: F-43m (216)
ρ in g cm⁻³: 6.53

Cell lengths 4.218, 4.218, 4.218 Å; angles 60.00, 60.00, 60.00 degrees
Positions (direct):
Be1 0.000 0.000 0.000
Cu1 0.750 0.750 0.750
Si1 0.500 0.500 0.500
Ag1 0.250 0.250 0.250

HfAs2Au: relaxed, PBE.

Total magnetic moment in μB per cell: 0.00
Energy in eV/atom: -5.673
Space-group type: F-43m (216)
ρ in g cm⁻³: 11.43

Cell lengths 4.761, 4.761, 4.761 Å; angles 60.00, 60.00, 60.00 degrees
Positions (direct):
Hf1 0.000 0.000 0.000
As1 0.250 0.250 0.250
As2 0.500 0.500 0.500
Au1 0.750 0.750 0.750

BaAgTeO: relaxed, PBE.

Energy in eV/atom: -4.361
Space-group type: Cmcm (63)
ρ in g cm⁻³: 6.73

Cell lengths 8.215, 8.215, 6.278 Å; angles 90.00, 90.00, 153.08 degrees
Positions (direct):
Ba1 0.072 0.928 0.750
Ba2 0.928 0.072 0.250
Ag1 0.391 0.609 0.750
Ag2 0.609 0.391 0.250
Te1 0.232 0.768 0.250
Te2 0.768 0.232 0.750
O1 0.500 0.500 0.000
O2 0.500 0.500 0.500

PdS2Cl4F2: relaxed, PBE.

Energy in eV/atom: -3.347
Space-group type: P-1 (2)
ρ in g cm⁻³: 2.92

Cell lengths 4.277, 6.138, 7.946 Å; angles 105.35, 95.64, 93.35 degrees
Positions (direct):
Pd1 0.000 0.000 0.000
S1 0.326 0.255 0.220
S2 0.674 0.745 0.780
Cl1 0.247 0.219 0.456
Cl2 0.335 0.135 0.830
Cl3 0.665 0.865 0.170
Cl4 0.753 0.781 0.544
F1 0.132 0.481 0.227
F2 0.868 0.519 0.773

BaHoOs: relaxed, PBE.

Total magnetic moment in μB per cell: 0.00
Polymorph energy (0 for the lowest one) in meV/atom: 1035
Space-group type: F-43m (216)
ρ in g cm⁻³: 9.87

Cell lengths 4.893, 4.893, 4.893 Å; angles 60.00, 60.00, 60.00 degrees
Positions (direct):
Ba1 0.000 0.000 0.000
Ho1 0.750 0.750 0.750
Os1 0.250 0.250 0.250